The following is a GGA+U calculation of a relaxed Rb2NiHgF6 crystal, from Alexandria.

Cell and atoms, written as CIF:
```
data_Rb2NiHgF6
_chemical_formula_sum 'Rb2 Ni1 Hg1 F6'
_space_group_name_H-M_alt 'P 1'
_space_group_IT_number 1
_cell_length_a 6.169
_cell_length_b 6.169
_cell_length_c 6.170
_cell_angle_alpha 60.01
_cell_angle_beta 60.01
_cell_angle_gamma 90.00
loop_
_space_group_symop_operation_xyz
'x,y,z'
loop_
_atom_site_label
_atom_site_type_symbol
_atom_site_fract_x
_atom_site_fract_y
_atom_site_fract_z
Ni1 Ni 0.500 0.500 0.000
Hg1 Hg 0.000 0.000 0.000
Rb1 Rb 0.750 0.250 0.500
Rb2 Rb 0.250 0.750 0.500
F1 F 0.267 0.267 0.467
F2 F 0.733 0.733 0.533
F3 F 0.267 0.267 0.000
F4 F 0.733 0.733 0.000
F5 F 0.733 0.267 0.000
F6 F 0.267 0.733 0.000
```

Output
For the total energy, the calculation gives -38.238 eV for the cell shown. As for the density of states at the Fermi level: 0.0000 states/eV/atom. Its size of the total moment is 0.2000 μB per atom. Its space group is Fm-3m (225). The calculated density is 5.44 g/cm3.